First-principles (PBE) data for a relaxed structure of NaTlSe2O8, as listed in the Alexandria database.

abc: 5.169 5.169 8.387
angles: 72.05 72.05 60.00
Element x y z (fractional)
Na 0.500 0.500 0.500
Tl 0.000 0.000 0.000
Se 0.251 0.251 0.248
Se 0.749 0.749 0.752
O 0.181 0.181 0.458
O 0.579 0.285 0.176
O 0.819 0.819 0.542
O 0.960 0.579 0.176
O 0.040 0.421 0.824
O 0.285 0.960 0.176
O 0.715 0.040 0.824
O 0.421 0.715 0.824

Computed properties:
As for the crystal system: trigonal. The calculation puts the magnetic moment at 0.000 μB per atom. The value obtained for the uncorrected formation energy is -77 kJ/mol of atoms. As for the space group: R-3, No. 148.

---

First-principles (PBE) data for a relaxed structure of NaTlSe2O6, as listed in the Alexandria database.

abc: 7.469 7.469 6.778
angles: 104.26 104.26 87.41
Element x y z (fractional)
Na 0.603 0.397 0.250
Na 0.397 0.603 0.750
Tl 0.212 0.788 0.250
Tl 0.788 0.212 0.750
Se 0.293 0.131 0.775
Se 0.869 0.707 0.725
Se 0.707 0.869 0.225
Se 0.131 0.293 0.275
O 0.926 0.390 0.202
O 0.610 0.074 0.298
O 0.074 0.610 0.798
O 0.390 0.926 0.702
O 0.180 0.139 0.055
O 0.861 0.820 0.445
O 0.820 0.861 0.945
O 0.139 0.180 0.555
O 0.298 0.459 0.365
O 0.541 0.702 0.135
O 0.702 0.541 0.635
O 0.459 0.298 0.865

Computed properties:
As for the crystal system: monoclinic. The calculation puts the magnetic moment at 0.000 μB per atom. The value obtained for the uncorrected formation energy is -83 kJ/mol of atoms. As for the space group: C2/c, No. 15.

---

First-principles (PBE) data for a relaxed structure of Na2TlSeO, as listed in the Alexandria database.

abc: 4.624 4.624 4.753
angles: 90.00 90.00 90.00
Element x y z (fractional)
Na 0.000 0.500 0.000
Na 0.500 0.000 0.000
Tl 0.000 0.000 0.500
O 0.000 0.000 0.000
Se 0.500 0.500 0.500

Computed properties:
As for the crystal system: tetragonal. The calculation puts the magnetic moment at 0.000 μB per atom. The value obtained for the uncorrected formation energy is -89 kJ/mol of atoms. As for the space group: P4/mmm, No. 123.

---

First-principles (PBE) data for a relaxed structure of NaTlSeO4, as listed in the Alexandria database.

abc: 7.235 6.908 6.908
angles: 54.78 58.42 58.42
Element x y z (fractional)
Na 0.500 0.000 0.500
Na 0.000 0.000 0.500
Tl 0.000 0.000 0.000
Tl 0.000 0.500 0.500
Se 0.626 0.624 0.124
Se 0.374 0.376 0.876
O 0.725 0.744 0.807
O 0.275 0.693 0.756
O 0.725 0.307 0.244
O 0.275 0.256 0.193
O 0.339 0.721 0.221
O 0.720 0.721 0.221
O 0.280 0.279 0.779
O 0.661 0.279 0.779

Computed properties:
As for the crystal system: orthorhombic. The calculation puts the magnetic moment at 0.000 μB per atom. The value obtained for the uncorrected formation energy is -94 kJ/mol of atoms. As for the space group: Imma, No. 74.

---

First-principles (PBE) data for a relaxed structure of NaTl2SeO4, as listed in the Alexandria database.

abc: 5.768 6.297 11.398
angles: 83.34 75.34 62.74
Element x y z (fractional)
Na 0.750 0.500 0.500
Na 0.000 0.000 0.000
Tl 0.150 0.000 0.700
Tl 0.850 0.000 0.300
Tl 0.600 0.500 0.800
Tl 0.900 0.500 0.200
Se 0.250 0.500 0.500
Se 0.500 0.000 0.000
O 0.370 0.827 0.086
O 0.283 0.173 0.914
O 0.804 0.827 0.914
O 0.544 0.173 0.086
O 0.380 0.673 0.414
O 0.467 0.327 0.586
O 0.946 0.673 0.586
O 0.206 0.327 0.414

Computed properties:
As for the crystal system: orthorhombic. The calculation puts the magnetic moment at 0.000 μB per atom. The value obtained for the uncorrected formation energy is -73 kJ/mol of atoms. As for the space group: Fddd, No. 70.

---

First-principles (PBE) data for a relaxed structure of NaTmSeO4, as listed in the Alexandria database.

abc: 7.031 6.477 6.477
angles: 61.14 57.13 57.13
Element x y z (fractional)
Na 0.500 0.000 0.500
Na 0.000 0.000 0.500
Tm 0.000 0.000 0.000
Tm 0.000 0.500 0.500
Se 0.605 0.645 0.145
Se 0.395 0.355 0.855
O 0.728 0.731 0.814
O 0.272 0.686 0.769
O 0.728 0.314 0.231
O 0.272 0.269 0.186
O 0.210 0.746 0.246
O 0.797 0.746 0.246
O 0.203 0.254 0.754
O 0.790 0.254 0.754

Computed properties:
As for the crystal system: orthorhombic. The calculation puts the magnetic moment at 0.000 μB per atom. The value obtained for the uncorrected formation energy is -182 kJ/mol of atoms. As for the space group: Imma, No. 74.

---

First-principles (PBE) data for a relaxed structure of NaTmSe2O8, as listed in the Alexandria database.

abc: 5.040 5.040 6.771
angles: 111.85 111.85 90.00
Element x y z (fractional)
Na 0.750 0.250 0.500
Tm 0.000 0.000 0.000
Se 0.500 0.500 0.000
Se 0.250 0.750 0.500
O 0.721 0.820 0.148
O 0.427 0.327 0.148
O 0.576 0.700 0.661
O 0.086 0.961 0.661
O 0.039 0.424 0.339
O 0.300 0.914 0.339
O 0.180 0.573 0.852
O 0.673 0.279 0.852

Computed properties:
As for the crystal system: tetragonal. The calculation puts the magnetic moment at 0.000 μB per atom. The value obtained for the uncorrected formation energy is -143 kJ/mol of atoms. As for the space group: I-4, No. 82.

---

First-principles (PBE) data for a relaxed structure of NaTm3Se4O12, as listed in the Alexandria database.

abc: 7.494 7.494 7.494
angles: 107.42 107.42 107.42
Element x y z (fractional)
Na 0.000 0.000 0.000
Tm 0.564 0.436 0.000
Tm 0.436 0.000 0.564
Tm 0.000 0.564 0.436
Se 0.938 0.062 0.500
Se 0.062 0.500 0.938
Se 0.500 0.938 0.062
Se 0.500 0.500 0.500
O 0.500 0.342 0.658
O 0.884 0.500 0.116
O 0.116 0.884 0.500
O 0.500 0.116 0.884
O 0.371 0.929 0.222
O 0.222 0.371 0.929
O 0.929 0.222 0.371
O 0.629 0.778 0.071
O 0.071 0.629 0.778
O 0.778 0.071 0.629
O 0.658 0.500 0.342
O 0.342 0.658 0.500

Computed properties:
As for the crystal system: trigonal. The calculation puts the magnetic moment at 0.050 μB per atom. The value obtained for the uncorrected formation energy is -154 kJ/mol of atoms. As for the space group: R32, No. 155.

---

First-principles (PBE) data for a relaxed structure of Na3Tm3SeO8, as listed in the Alexandria database.

abc: 6.632 6.632 6.753
angles: 119.41 90.00 120.00
Element x y z (fractional)
Na 0.000 0.000 0.000
Na 0.000 0.500 0.000
Na 0.500 0.500 0.000
Tm 0.500 0.000 0.500
Tm 0.500 0.500 0.500
Tm 0.000 0.500 0.500
Se 0.000 0.000 0.500
O 0.265 0.530 0.294
O 0.735 0.470 0.706
O 0.778 0.555 0.301
O 0.222 0.445 0.699
O 0.778 0.023 0.301
O 0.222 0.977 0.699
O 0.246 0.023 0.301
O 0.754 0.977 0.699

Computed properties:
As for the crystal system: trigonal. The calculation puts the magnetic moment at 0.000 μB per atom. The value obtained for the uncorrected formation energy is -232 kJ/mol of atoms. As for the space group: R-3m, No. 166.

---

First-principles (PBE) data for a relaxed structure of NaTmSe2O6, as listed in the Alexandria database.

abc: 5.401 5.401 6.720
angles: 66.31 66.31 60.00
Element x y z (fractional)
Na 0.000 0.000 0.000
Tm 0.500 0.500 0.500
Se 0.721 0.721 0.838
Se 0.279 0.279 0.162
O 0.065 0.478 0.722
O 0.736 0.065 0.722
O 0.522 0.264 0.278
O 0.935 0.522 0.278
O 0.264 0.935 0.278
O 0.478 0.736 0.722

Computed properties:
As for the crystal system: trigonal. The calculation puts the magnetic moment at 0.000 μB per atom. The value obtained for the uncorrected formation energy is -166 kJ/mol of atoms. As for the space group: R-3, No. 148.

---

First-principles (PBE) data for a relaxed structure of Na2USeO6, as listed in the Alexandria database.

abc: 4.348 5.805 5.805
angles: 90.00 90.00 90.00
Element x y z (fractional)
Na 0.068 0.500 0.000
Na 0.068 0.000 0.500
U 0.645 0.500 0.500
Se 0.619 0.000 0.000
O 0.664 0.251 0.251
O 0.664 0.251 0.749
O 0.153 0.500 0.500
O 0.236 0.000 0.000
O 0.664 0.749 0.749
O 0.664 0.749 0.251

Computed properties:
As for the crystal system: tetragonal. The calculation puts the magnetic moment at 0.000 μB per atom. The value obtained for the uncorrected formation energy is -190 kJ/mol of atoms. As for the space group: P4mm, No. 99.

---

First-principles (PBE) data for a relaxed structure of Na2USe2O2, as listed in the Alexandria database.

abc: 4.168 6.481 6.724
angles: 63.82 71.95 71.25
Element x y z (fractional)
Na 0.202 0.337 0.259
Na 0.798 0.663 0.741
U 0.000 0.000 0.000
Se 0.564 0.187 0.684
Se 0.436 0.813 0.316
O 0.168 0.723 0.941
O 0.832 0.277 0.059

Computed properties:
As for the crystal system: monoclinic. The calculation puts the magnetic moment at 0.000 μB per atom. The value obtained for the uncorrected formation energy is -185 kJ/mol of atoms. As for the space group: C2/m, No. 12.